[1]
VASP calculation (PBEsol) on a relaxed structure of CoReSn2Rh.

abc: 4.650 5.055 5.055
angles: 90.00 90.00 90.00
Each line ends with the local moment (μB).
Fractional positions:
Sn (0.000, 0.000, 0.500)  -0.02
Sn (0.000, 0.500, 0.000)  -0.02
Co (0.500, 0.500, 0.500)  1.96
Rh (0.500, 0.000, 0.000)  -0.03
Re (0.000, 0.000, 0.000)  -0.04

**VASP energy**: -0.225 Ha/atom
**ΔE_f**: 1.42 eV per atom

[2]
VASP calculation (PBEsol) on a relaxed structure of Li2Ga2Au.

abc: 3.508 3.508 6.998
angles: 104.52 104.52 90.00
Fractional positions:
Ga (0.402, 0.402, 0.803)
Au (0.000, 0.000, 0.000)
Li (0.250, 0.750, 0.500)
Ga (0.598, 0.598, 0.197)
Li (0.750, 0.250, 0.500)

**VASP energy**: -0.112 Ha/atom
**ΔE_f**: -0.15 eV per atom

[3]
VASP calculation (PBEsol) on a relaxed structure of Zr2CdPb.

abc: 3.162 4.331 6.292
angles: 90.00 90.12 90.00
Fractional positions:
Pb (0.500, 0.500, 0.500)
Zr (0.999, 0.000, 0.757)
Cd (0.500, 0.500, 0.000)
Zr (0.001, 0.000, 0.243)

**VASP energy**: -0.222 Ha/atom
**ΔE_f**: -0.20 eV per atom

[4]
VASP calculation (PBEsol) on a relaxed structure of SrLiNi4.

abc: 4.921 4.921 4.921
angles: 60.00 60.00 60.00
Fractional positions:
Li (0.000, 0.000, 0.000)
Ni (0.374, 0.374, 0.374)
Ni (0.374, 0.878, 0.374)
Sr (0.750, 0.750, 0.750)
Ni (0.878, 0.374, 0.374)
Ni (0.374, 0.374, 0.878)

**VASP energy**: -0.174 Ha/atom
**ΔE_f**: 0.01 eV per atom

[5]
VASP calculation (PBEsol) on a relaxed structure of Sc2IrPt.

abc: 3.139 4.619 4.619
angles: 92.68 90.00 90.00
Fractional positions:
Sc (0.000, 0.500, 0.000)
Pt (0.500, 0.500, 0.500)
Ir (0.500, 0.000, 0.000)
Sc (0.000, 0.000, 0.500)

**VASP energy**: -0.316 Ha/atom
**ΔE_f**: -1.09 eV per atom

[6]
VASP calculation (PBEsol) on a relaxed structure of Tl3Te.

abc: 6.963 6.963 11.367
angles: 90.00 90.00 120.00
Fractional positions:
Tl (0.835, 0.670, 0.250)
Tl (0.330, 0.165, 0.250)
Te (0.000, 0.000, 0.000)
Tl (0.165, 0.835, 0.750)
Te (0.333, 0.667, 0.250)
Tl (0.500, 0.500, 0.000)
Tl (0.000, 0.500, 0.000)
Tl (0.000, 0.500, 0.500)
Tl (0.835, 0.165, 0.250)
Tl (0.500, 0.000, 0.000)
Tl (0.500, 0.500, 0.500)
Tl (0.500, 0.000, 0.500)
Te (0.000, 0.000, 0.500)
Tl (0.165, 0.330, 0.750)
Tl (0.670, 0.835, 0.750)
Te (0.667, 0.333, 0.750)

**VASP energy**: -0.111 Ha/atom